Entry 1:
MgBr2: optimized geometry, PBE-GGA.

The structure in POSCAR format:
```
MgBr2
1.0
-1.731 1.731 16.431
1.731 -1.731 16.431
1.731 1.731 -16.431
Mg Br
2 4
direct
0.375 0.625 0.750
0.625 0.375 0.250
0.075 0.825 0.250
0.175 0.925 0.250
0.825 0.075 0.750
0.925 0.175 0.750
```

ΔE_f (raw) (meV/atom): -1061
D(E_F) (states/eV/atom): 0.000
Energy (eV for the cell shown): -16.25

=====

Entry 2:
MgBr2: optimized geometry, PBE-GGA.

The structure in POSCAR format:
```
MgBr2
1.0
4.484 0.000 0.000
-2.242 3.883 0.000
0.000 0.000 9.556
Mg Br
2 4
direct
0.333 0.667 0.250
0.667 0.333 0.750
0.000 0.000 0.000
0.000 0.000 0.500
0.333 0.667 0.750
0.667 0.333 0.250
```

ΔE_f (raw) (meV/atom): -976
Energy (eV for the cell shown): -15.74

=====

Number 1: total moment 0.000 μB per formula unit. Number 2: total moment 0.000 μB per formula unit.